No. 1
Material: BaAs2Os
Method: DFT, GGA-PBE
State: optimized geometry

Calculated values
Electronic total energy   -19.78 eV for the cell shown
Symmetry   Cmmm, No. 65
Formation energy   0.6686 eV per atom
Crystal system   orthorhombic

Lattice parameters (Å, degrees): 4.8178 4.8178 3.9898 90.00 90.00 102.43
Closest atoms and distances in Å follow each position.
Positions (direct):
As: 0.5000 0.5000 0.0000  2 As 3.02, 4 Os 3.13, 4 Ba 3.13
Ba: 0.5000 0.0000 0.5000  2 Os 3.02, 8 As 3.13
As: 0.0000 0.0000 0.0000  2 As 3.02, 4 Ba 3.13, 4 Os 3.13
Os: 0.0000 0.5000 0.5000  2 Ba 3.02, 8 As 3.13


No. 2
Material: BaAs4Os
Method: DFT, GGA-PBE
State: optimized geometry

Calculated values
Electronic total energy   -28.14 eV for the cell shown
Symmetry   F-43m, No. 216
Formation energy   0.6015 eV per atom
Crystal system   cubic

Lattice parameters (Å, degrees): 5.7488 5.7488 5.7488 60.00 60.00 60.00
Closest atoms and distances in Å follow each position.
Positions (direct):
As: 0.3692 0.8923 0.3692  6 As 2.74-3.01
As: 0.3692 0.3692 0.3692  6 As 2.74-3.01
Ba: 0.7500 0.7500 0.7500  12 As 3.39, 4 Os 3.52
As: 0.3692 0.3692 0.8923  6 As 2.74-3.01
Os: 0.0000 0.0000 0.0000  12 As 3.36, 4 Ba 3.52
As: 0.8923 0.3692 0.3692  6 As 2.74-3.01


No. 3
Material: BaAsOs4
Method: DFT, GGA-PBE
State: optimized geometry

Calculated values
Electronic total energy   -45.60 eV for the cell shown
Symmetry   F-43m, No. 216
Formation energy   0.9813 eV per atom
Crystal system   cubic

Lattice parameters (Å, degrees): 5.4311 5.4311 5.4311 60.00 60.00 60.00
Closest atoms and distances in Å follow each position.
Positions (direct):
Os: 0.3765 0.3765 0.3765  6 Os 2.68-2.75
Ba: 0.0000 0.0000 0.0000  12 Os 3.19, 4 As 3.33
Os: 0.3765 0.8705 0.3765  6 Os 2.68-2.75
Os: 0.8705 0.3765 0.3765  6 Os 2.68-2.75
Os: 0.3765 0.3765 0.8705  6 Os 2.68-2.75
As: 0.7500 0.7500 0.7500  12 Os 3.18, 4 Ba 3.33


No. 4
Material: BaAs2Os
Method: DFT, GGA-PBE
State: optimized geometry

Calculated values
Electronic total energy   -23.47 eV for the cell shown
Symmetry   Amm2, No. 38
Formation energy   -0.2557 eV per atom
Crystal system   orthorhombic

Lattice parameters (Å, degrees): 4.3717 4.1412 6.6791 71.94 90.00 90.00
Closest atoms and distances in Å follow each position.
Positions (direct):
As: 0.0000 0.8844 0.8562  2 Os 2.37
Os: 0.5000 0.8115 0.0020  4 As 2.37-2.41
As: 0.5000 0.2144 0.1962  2 Os 2.41
Ba: 0.0000 0.5897 0.4457  6 As 3.33-3.40, 2 Os 3.57


No. 5
Material: BaAs2Os
Method: DFT, GGA-PBE
State: optimized geometry

Calculated values
Electronic total energy   -22.17 eV for the cell shown
Symmetry   P4/mmm, No. 123
Formation energy   0.0705 eV per atom
Crystal system   tetragonal

Lattice parameters (Å, degrees): 3.3082 3.3082 7.6803 90.00 90.00 90.00
Closest atoms and distances in Å follow each position.
Positions (direct):
As: 0.0000 0.0000 0.5678  4 Os 2.73, 1 As 2.80
As: 0.0000 0.0000 0.9322  4 Os 2.73, 1 As 2.80
Os: 0.5000 0.5000 0.7500  8 As 2.73
Ba: 0.5000 0.5000 0.2500  4 Ba 3.31, 8 As 3.38


No. 6
Material: BaAs2Os
Method: DFT, GGA-PBE
State: optimized geometry

Calculated values
Electronic total energy   -22.80 eV for the cell shown
Symmetry   Pmmm, No. 47
Formation energy   -0.0882 eV per atom
Crystal system   orthorhombic

Lattice parameters (Å, degrees): 4.1880 3.3556 6.6057 90.01 90.00 90.00
Closest atoms and distances in Å follow each position.
Positions (direct):
Ba: 0.5000 0.2500 0.2500  8 As 3.33, 2 Ba 3.36, 4 Os 3.70
As: 0.0000 0.7493 0.9505  2 Os 2.48, 1 As 2.65
Os: 0.5000 0.7500 0.7500  4 As 2.48
As: 0.0000 0.7507 0.5495  2 Os 2.48, 1 As 2.65


No. 7
Material: BaAsOs3
Method: DFT, GGA-PBE
State: optimized geometry

Calculated values
Electronic total energy   -21.26 eV for the cell shown
Symmetry   Pm-3m, No. 221
Formation energy   3.8010 eV per atom
Crystal system   cubic

Lattice parameters (Å, degrees): 5.0623 5.0623 5.0623 90.00 90.00 90.00
Closest atoms and distances in Å follow each position.
Positions (direct):
Ba: 0.0000 0.0000 0.0000  6 Os 2.53
Os: 0.5000 0.0000 0.0000  2 Ba 2.53
As: 0.5000 0.5000 0.5000  12 Os 3.58
Os: 0.0000 0.0000 0.5000  2 Ba 2.53
Os: 0.0000 0.5000 0.0000  2 Ba 2.53


No. 8
Material: BaAs2Os
Method: DFT, GGA-PBE
State: optimized geometry

Calculated values
Electronic total energy   -19.71 eV for the cell shown
Symmetry   P4/mmm, No. 123
Formation energy   0.6850 eV per atom
Crystal system   tetragonal

Lattice parameters (Å, degrees): 4.5165 4.5195 4.3755 90.00 90.00 90.00
Closest atoms and distances in Å follow each position.
Positions (direct):
Os: 0.0000 0.5000 0.5000  8 As 3.14-3.15, 4 Ba 3.19
As: 0.0000 0.0000 0.0000  4 Ba 3.14, 4 Os 3.15, 4 As 3.19
Ba: 0.5000 0.0000 0.5000  8 As 3.14-3.15, 4 Os 3.19
As: 0.5000 0.5000 0.0000  4 Os 3.14, 4 Ba 3.15, 4 As 3.19


No. 9
Material: BaAs2Os
Method: DFT, GGA-PBE
State: optimized geometry

Calculated values
Electronic total energy   -21.68 eV for the cell shown
Symmetry   P4mm, No. 99
Formation energy   0.1921 eV per atom
Crystal system   tetragonal

Lattice parameters (Å, degrees): 3.4658 3.4658 7.4932 90.00 90.00 90.00
Closest atoms and distances in Å follow each position.
Positions (direct):
As: 0.5000 0.5000 0.1877  1 Os 2.55
Ba: 0.0000 0.0000 0.5028  5 As 3.40-3.44, 4 Ba 3.47, 4 Os 3.56
Os: 0.5000 0.5000 0.8476  5 As 2.55-2.60
As: 0.0000 0.0000 0.9620  4 Os 2.60


No. 10
Material: BaAs2Os
Method: DFT, GGA-PBE
State: optimized geometry

Calculated values
Electronic total energy   -46.35 eV for the cell shown
Symmetry   I-42d, No. 122
Formation energy   -0.1814 eV per atom
Crystal system   tetragonal

Lattice parameters (Å, degrees): 6.4466 6.4466 7.5609 64.77 64.77 90.00
Closest atoms and distances in Å follow each position.
Positions (direct):
As: 0.7457 0.1250 0.2500  2 Os 2.36
Ba: 0.2500 0.7500 0.5000  4 As 3.25
As: 0.0043 0.6250 0.2500  2 Os 2.36
Os: 0.0000 0.0000 0.0000  4 As 2.36
Os: 0.7500 0.2500 0.5000  4 As 2.36
As: 0.8750 0.9957 0.7500  2 Os 2.36
As: 0.3750 0.2543 0.7500  2 Os 2.36
Ba: 0.5000 0.5000 0.0000  4 As 3.25


No. 11
Material: BaAs2Os
Method: DFT, GGA-PBE
State: optimized geometry

Calculated values
Electronic total energy   -22.75 eV for the cell shown
Symmetry   Cm, No. 8
Formation energy   -0.0750 eV per atom
Crystal system   monoclinic

Lattice parameters (Å, degrees): 5.3031 5.3031 5.8742 74.48 74.48 40.87
Closest atoms and distances in Å follow each position.
Positions (direct):
Ba: 0.5145 0.5145 0.4965  8 As 3.46-3.68, 4 Os 3.58-3.63, 2 Ba 3.70
Os: 0.2924 0.2924 0.1010  4 As 2.44-2.53
As: 0.7201 0.7201 0.8933  2 Os 2.44
As: 0.9730 0.9730 0.0092  2 Os 2.53, 1 As 2.79


No. 12
Material: BaAsOs3
Method: DFT, GGA-PBE
State: optimized geometry

Calculated values
Electronic total energy   -34.08 eV for the cell shown
Symmetry   Pm-3m, No. 221
Formation energy   1.2368 eV per atom
Crystal system   cubic

Lattice parameters (Å, degrees): 4.7263 4.7263 4.7263 90.00 90.00 90.00
Closest atoms and distances in Å follow each position.
Positions (direct):
Os: 0.5000 0.0000 0.0000  2 As 2.36
As: 0.0000 0.0000 0.0000  6 Os 2.36
Os: 0.0000 0.0000 0.5000  2 As 2.36
Os: 0.0000 0.5000 0.0000  2 As 2.36
Ba: 0.5000 0.5000 0.5000  12 Os 3.34


No. 13
Material: BaAs2Os
Method: DFT, GGA-PBE
State: optimized geometry

Calculated values
Electronic total energy   -24.03 eV for the cell shown
Symmetry   R-3m, No. 166
Formation energy   -0.3950 eV per atom
Crystal system   trigonal

Lattice parameters (Å, degrees): 6.3034 6.3034 6.3034 39.83 39.83 39.83
Closest atoms and distances in Å follow each position.
Positions (direct):
Os: 0.7500 0.7500 0.7500  6 As 2.58
As: 0.4587 0.4587 0.4587  3 Os 2.58, 3 As 2.88
As: 0.0413 0.0413 0.0413  3 Os 2.58, 3 As 2.88
Ba: 0.2500 0.2500 0.2500  8 As 3.29-3.63


No. 14
Material: BaAs2Os
Method: DFT, GGA-PBE
State: optimized geometry

Calculated values
Electronic total energy   -19.24 eV for the cell shown
Symmetry   F-43m, No. 216
Formation energy   0.8023 eV per atom
Crystal system   cubic

Lattice parameters (Å, degrees): 4.9966 4.9966 4.9966 60.00 60.00 60.00
Closest atoms and distances in Å follow each position.
Positions (direct):
As: 0.0000 0.0000 0.0000  4 Os 3.06, 4 As 3.06
Ba: 0.5000 0.5000 0.5000  4 As 3.06, 4 Os 3.06
As: 0.2500 0.2500 0.2500  4 Ba 3.06, 4 As 3.06
Os: 0.7500 0.7500 0.7500  4 As 3.06, 4 Ba 3.06